Entry from Alexandria via LeMat-Bulk: crystalline LaDyInIr at its relaxed geometry (PBE-GGA).

a b c (Å): 5.2072 5.2072 5.2072
angles (deg): 60.00 60.00 60.00
Positions (direct):
In 0.5000 0.5000 0.5000
Ir 0.0000 0.0000 0.0000
La 0.2500 0.2500 0.2500
Dy 0.7500 0.7500 0.7500

Computed properties:
DFT total energy in eV for the cell shown: -22.95
N(E_F) in states/eV per cell: 3.85
Theoretical density in g/cm³: 10.12